This record from Alexandria via LeMat-Bulk describes Tl2CdGa2Au7 after structural relaxation. The functional is PBE.

Cell: 4.211 4.211 14.989 Å, 94.47 94.47 89.45°
Atoms (fractional coordinates):
1 Tl 0.075 0.075 0.382
2 Tl 0.925 0.925 0.618
3 Cd 0.000 0.000 0.000
4 Ga 0.423 0.423 0.749
5 Ga 0.577 0.577 0.251
6 Au 0.046 0.543 0.145
7 Au 0.421 0.421 0.581
8 Au 0.457 0.954 0.855
9 Au 0.500 0.500 0.000
10 Au 0.543 0.046 0.145
11 Au 0.579 0.579 0.419
12 Au 0.954 0.457 0.855

Results
**Space-group type**: C2/m, No. 12
**ΔE_f**: -2.066 kcal/mol of atoms

=====

This record from Alexandria via LeMat-Bulk describes Al5W after structural relaxation. The functional is PBE.

Cell: 4.978 4.978 4.553 Å, 90.00 90.00 120.00°
Atoms (fractional coordinates):
1 Al 0.000 0.500 0.000
2 Al 0.333 0.667 0.500
3 Al 0.500 0.000 0.000
4 Al 0.500 0.500 0.000
5 Al 0.667 0.333 0.500
6 W 0.000 0.000 0.500

Results
**Space-group type**: P6/mmm, No. 191
**ΔE_f**: 10.432 kcal/mol of atoms

=====

This record from Alexandria via LeMat-Bulk describes Be2MoSe after structural relaxation. The functional is PBE.

Cell: 2.691 2.691 8.252 Å, 90.00 90.00 103.15°
Atoms (fractional coordinates):
1 Be 0.000 0.000 0.212
2 Be 0.000 0.000 0.788
3 Mo 0.500 0.500 0.000
4 Se 0.500 0.500 0.500

Results
**Space-group type**: Cmmm, No. 65
**Raw formation energy**: 390 meV/atom

=====

This record from Alexandria via LeMat-Bulk describes LiPmTmTc after structural relaxation. The functional is PBE.

Cell: 4.958 4.958 4.958 Å, 60.00 60.00 60.00°
Atoms (fractional coordinates):
1 Li 0.000 0.000 0.000
2 Pm 0.250 0.250 0.250
3 Tm 0.750 0.750 0.750
4 Tc 0.500 0.500 0.500

Results
**Space-group type**: F-43m, No. 216
**ΔE_f**: -0.023 kcal/mol of atoms